Material: TaFeAsPt
Method: DFT, GGA-PBE
State: optimized geometry

Properties
energy: -7.6380 eV per atom

a = 4.4710 Å, b = 4.4710 Å, c = 4.4710 Å
α = 60.00°, β = 60.00°, γ = 60.00°
Fractional coordinates of all 4 atoms:
1 As 0.0000 0.0000 0.0000
2 Fe 0.7500 0.7500 0.7500
3 Pt 0.2500 0.2500 0.2500
4 Ta 0.5000 0.5000 0.5000